Entry from Alexandria: an optimized crystal structure of CdGeRh2O6 (PBE-GGA).

Output
- Space-group type: P4mm
- DOS at the Fermi energy: 6.30 states/eV/f.u.
- Total energy: -5.491 eV/atom

a = 5.2085 Å, b = 5.2085 Å, c = 5.2467 Å
α = 90.00°, β = 90.00°, γ = 90.00°
Sites, in units of the cell vectors:
Cd 0.0000 0.0000 0.0000
Ge 0.5000 0.5000 0.1077
Rh 0.0000 0.5000 0.4233
Rh 0.5000 0.0000 0.4233
O 0.0000 0.0000 0.6091
O 0.2612 0.2612 0.2611
O 0.2612 0.7388 0.2611
O 0.5000 0.5000 0.7837
O 0.7388 0.2612 0.2611
O 0.7388 0.7388 0.2611

Entry from Alexandria: an optimized crystal structure of Y2MgW (PBE-GGA).

Output
- Space-group type: Cm
- ΔH_f (0 K): 0.4004 eV/atom
- DOS at the Fermi energy: 4.75 states/eV/f.u.
- Total energy: -6.469 eV/atom

a = 5.9474 Å, b = 5.9474 Å, c = 5.5164 Å
α = 105.34°, β = 105.34°, γ = 31.03°
Sites, in units of the cell vectors:
Y 0.0000 0.0000 0.0000
Y 0.2024 0.2024 0.6357
Mg 0.4373 0.4373 0.4534
W 0.7416 0.7416 0.1432

Entry from Alexandria: an optimized crystal structure of Ti2CdFeB (PBE-GGA).

Output
- Space-group type: P4/mmm
- ΔH_f (0 K): 0.2845 eV/atom
- DOS at the Fermi energy: 3.63 states/eV/f.u.
- Total energy: -6.085 eV/atom

a = 4.2812 Å, b = 4.2812 Å, c = 4.3009 Å
α = 90.00°, β = 90.00°, γ = 90.00°
Sites, in units of the cell vectors:
Ti 0.0000 0.5000 0.0000
Ti 0.5000 0.0000 0.0000
Cd 0.0000 0.0000 0.5000
Fe 0.5000 0.5000 0.5000
B 0.0000 0.0000 0.0000

Entry from Alexandria: an optimized crystal structure of Cs3PuCr2Se6 (PBE-GGA).

Output
- Space-group type: C2/m
- DOS at the Fermi energy: 7.70 states/eV/f.u.
- Total energy: -5.707 eV/atom

a = 6.9843 Å, b = 6.9843 Å, c = 8.5766 Å
α = 97.83°, β = 97.83°, γ = 119.94°
Sites, in units of the cell vectors:
Cs 0.0000 0.0000 0.0000
Cs 0.3381 0.6619 0.0000
Cs 0.6619 0.3381 0.0000
Pu 0.5000 0.5000 0.5000
Cr 0.1668 0.8332 0.5000
Cr 0.8332 0.1668 0.5000
Se 0.0829 0.4427 0.3280
Se 0.1970 0.1970 0.6699
Se 0.4427 0.0829 0.3280
Se 0.5573 0.9171 0.6720
Se 0.8030 0.8030 0.3301
Se 0.9171 0.5573 0.6720